Record 1
4
Lattice="4.628 0.000 0.000 2.314 4.008 0.000 2.314 1.336 3.779" Properties=species:S:1:pos:R:3 comment="Ta2FeBr | Alexandria | PBE-GGA | optimized geometry" volume_a3_per_atom=17.52 e_above_lowest_polymorph_mev_per_atom=932 total_magnetization_mub_per_fu=2.81 formation_energy_uncorrected_mev_per_atom=1032 pbc="T T T"
Fe 6.942 4.008 2.834
Ta 0.000 0.000 0.000
Ta 2.314 1.336 0.945
Br 4.628 2.672 1.889

***

Record 2
8
Lattice="5.422 0.000 0.000 0.000 5.422 0.000 2.711 2.711 6.172" Properties=species:S:1:pos:R:3 comment="Ta2FeBr | Alexandria | PBE-GGA | optimized geometry" volume_a3_per_atom=22.68 e_above_lowest_polymorph_mev_per_atom=925 total_magnetization_mub_per_fu=0.00 formation_energy_uncorrected_mev_per_atom=1025 pbc="T T T"
Br 0.000 0.000 0.000
Ta 1.701 4.067 1.543
Ta 6.778 6.433 4.629
Fe 2.711 2.711 0.000
Ta 3.722 1.356 1.543
Ta 4.067 4.412 4.629
Br 5.422 2.711 3.086
Fe 2.711 5.422 3.086

***

> What is the formula in the second record?

Ta2FeBr